# SmCd2Cu, relaxed, DFT PBE
data_SmCd2Cu
_chemical_formula_sum 'Sm1 Cd2 Cu1'
_cell_length_a 3.214
_cell_length_b 3.214
_cell_length_c 10.719
_cell_angle_alpha 81.38
_cell_angle_beta 81.38
_cell_angle_gamma 60.00
_symmetry_space_group_name_H-M 'P 1'
_symmetry_Int_Tables_number 1
_symmetry_space_group_name_Hall 'P 1'
loop_
_atom_site_label
_atom_site_type_symbol
_atom_site_fract_x
_atom_site_fract_y
_atom_site_fract_z
Cd1 Cd 0.101 0.101 0.696
Cu1 Cu 0.500 0.500 0.500
Sm1 Sm 0.000 0.000 0.000
Cd2 Cd 0.899 0.899 0.304
# ΔH_f (0 K): 108 kJ/mol of formula units
# Density: 7.7 Mg/m³
# DFT total energy: -9.52 eV/cell

---

# Sm5CdCu2, relaxed, DFT PBE
data_Sm5CdCu2
_chemical_formula_sum 'Sm10 Cd2 Cu4'
_cell_length_a 8.121
_cell_length_b 8.121
_cell_length_c 8.672
_cell_angle_alpha 117.92
_cell_angle_beta 117.92
_cell_angle_gamma 90.00
_symmetry_space_group_name_H-M 'P 1'
_symmetry_Int_Tables_number 1
_symmetry_space_group_name_Hall 'P 1'
loop_
_atom_site_label
_atom_site_type_symbol
_atom_site_fract_x
_atom_site_fract_y
_atom_site_fract_z
Cu1 Cu 0.873 0.627 0.000
Cu2 Cu 0.373 0.873 0.000
Cd1 Cd 0.250 0.250 0.500
Sm1 Sm 0.513 0.702 0.715
Sm2 Sm 0.000 0.000 0.000
Sm3 Sm 0.013 0.513 0.715
Sm4 Sm 0.202 0.013 0.715
Sm5 Sm 0.987 0.487 0.285
Cu3 Cu 0.127 0.373 0.000
Sm6 Sm 0.298 0.798 0.285
Sm7 Sm 0.798 0.987 0.285
Sm8 Sm 0.500 0.500 0.000
Sm9 Sm 0.487 0.298 0.285
Cu4 Cu 0.627 0.127 0.000
Sm10 Sm 0.702 0.202 0.715
Cd2 Cd 0.750 0.750 0.500
# ΔH_f (0 K): -112 kJ/mol of formula units
# Density: 7.7 Mg/m³
# DFT total energy: -67.73 eV/cell

---

| no. | total magnetic moment (μB/atom) |
| --- | --- |
| 1 | 0.00 |
| 2 | 0.00 |